(1)
A geometry-optimized BaCa2FeTe structure, computed with PBE.

Cell lengths 5.383, 5.383, 5.714 Å; angles 90.00, 90.00, 90.00 degrees
Atoms (fractional coordinates):
Ba 0.000 0.000 0.000
Ca 0.000 0.500 0.500
Ca 0.500 0.000 0.500
Fe 0.000 0.000 0.500
Te 0.500 0.500 0.000

Calculated volume, Å³/cell: 165.5
Spin magnetization, Bohr magnetons per cell: 0.81
E_tot, eV/atom: -3.598
Formation energy from raw total energies, eV per atom: -0.092
Crystal system: tetragonal

***

(2)
A geometry-optimized Ba2CaTlFe structure, computed with PBE.

Cell lengths 6.643, 6.643, 4.511 Å; angles 90.00, 90.00, 90.00 degrees
Atoms (fractional coordinates):
Ba 0.000 0.500 0.000
Ba 0.500 0.000 0.000
Ca 0.000 0.000 0.000
Tl 0.500 0.500 0.500
Fe 0.000 0.000 0.500

Calculated volume, Å³/cell: 199.0
Spin magnetization, Bohr magnetons per cell: 0.38
E_tot, eV/atom: -2.457
Crystal system: tetragonal
Energy of formation, eV per atom: 0.879

***

(3)
A geometry-optimized Ba3CaGa structure, computed with PBE.

Cell lengths 6.561, 6.561, 6.561 Å; angles 90.00, 90.00, 90.00 degrees
Atoms (fractional coordinates):
Ba 0.000 0.000 0.500
Ba 0.000 0.500 0.000
Ba 0.500 0.000 0.000
Ca 0.500 0.500 0.500
Ga 0.000 0.000 0.000

Calculated volume, Å³/cell: 282.4
Spin magnetization, Bohr magnetons per cell: 1.31
E_tot, eV/atom: -2.143
Crystal system: cubic
Energy of formation, eV per atom: 0.016

***

(4)
A geometry-optimized BaCaGa structure, computed with PBE.

Cell lengths 7.548, 7.548, 7.548 Å; angles 149.72, 149.72, 43.35 degrees
Atoms (fractional coordinates):
Ba 0.000 0.000 0.000
Ca 0.262 0.262 0.000
Ga 0.654 0.654 0.000

Calculated volume, Å³/cell: 109.0
Spin magnetization, Bohr magnetons per cell: 0.00
E_tot, eV/atom: -2.588
Distance to the lowest polymorph of the same formula, meV per atom: 9
Crystal system: tetragonal
Energy of formation, eV per atom: -0.271

***

(5)
A geometry-optimized BaCaGa4 structure, computed with PBE.

Cell lengths 5.847, 5.847, 5.847 Å; angles 60.00, 60.00, 60.00 degrees
Atoms (fractional coordinates):
Ba 0.000 0.000 0.000
Ca 0.250 0.250 0.250
Ga 0.126 0.625 0.625
Ga 0.625 0.126 0.625
Ga 0.625 0.625 0.126
Ga 0.625 0.625 0.625

Calculated volume, Å³/cell: 141.3
Spin magnetization, Bohr magnetons per cell: 0.00
E_tot, eV/atom: -3.040
Distance to the lowest polymorph of the same formula, meV per atom: 92
Crystal system: cubic
Energy of formation, eV per atom: -0.368

***

(6)
A geometry-optimized Ba2Ca2Ga3 structure, computed with PBE.

Cell lengths 7.990, 7.990, 8.066 Å; angles 106.18, 106.18, 29.14 degrees
Atoms (fractional coordinates):
Ba 0.188 0.188 0.246
Ba 0.812 0.812 0.754
Ca 0.063 0.063 0.755
Ca 0.937 0.937 0.245
Ga 0.418 0.418 0.534
Ga 0.500 0.500 0.000
Ga 0.582 0.582 0.466

Calculated volume, Å³/cell: 240.2
Spin magnetization, Bohr magnetons per cell: 0.00
E_tot, eV/atom: -2.720
Crystal system: monoclinic
Energy of formation, eV per atom: -0.301